## Tl3CdBi2 (GGA-PBE)

Data for an optimized crystal structure of Tl3CdBi2.

Unit cell a=9.8873 b=9.8873 c=9.8873 alpha=139.22 beta=57.34 gamma=141.48
Last column: nearest neighbours and their distance in Å.
Sites, in units of the cell vectors:
Tl (0.1779, 0.1946, 0.3725)  5 Bi 3.36-3.58, 2 Tl 3.74
Tl (0.2500, 0.2500, 0.0000)  2 Tl 3.26, 2 Cd 3.44, 4 Bi 3.45
Tl (0.3221, 0.6946, 0.0168)  5 Bi 3.36-3.58, 2 Tl 3.74
Tl (0.6779, 0.3054, 0.9832)  5 Bi 3.36-3.58, 2 Tl 3.74
Tl (0.7500, 0.7500, 0.0000)  2 Tl 3.26, 2 Cd 3.44, 4 Bi 3.45
Tl (0.8221, 0.8054, 0.6275)  5 Bi 3.36-3.58, 2 Tl 3.74
Cd (0.2500, 0.7500, 0.5000)  4 Bi 3.08, 2 Cd 3.26, 2 Tl 3.44
Cd (0.7500, 0.2500, 0.5000)  4 Bi 3.08, 2 Cd 3.26, 2 Tl 3.44
Bi (0.1282, 0.6995, 0.8277)  2 Cd 3.08, 3 Tl 3.36-3.45
Bi (0.3718, 0.1995, 0.5713)  2 Cd 3.08, 3 Tl 3.36-3.45
Bi (0.6282, 0.8005, 0.4287)  2 Cd 3.08, 3 Tl 3.36-3.45
Bi (0.8718, 0.3005, 0.1723)  2 Cd 3.08, 3 Tl 3.36-3.45

Values from the calculation:
SG	Ibam, No. 72
energy relative to the elements	0.01	eV per atom
ρ	9.74	Mg/m³